1.
The following is a PBE calculation of crystalline TmMg12Pb6 at its relaxed geometry, from the Alexandria database.

Values from the calculation:
**Crystal system**: trigonal
**DFT formation energy**: -2.2 kJ/mol of atoms
**ρ**: 5.73 g/cm3
**Magnetic moment**: 0.00 μB per atom

Unit cell a=7.906 b=7.906 c=7.906 alpha=88.78 beta=88.78 gamma=88.78
Fractional positions:
Tm1 0.000 0.000 0.000
Mg1 0.074 0.145 0.381
Mg2 0.145 0.381 0.074
Mg3 0.205 0.471 0.554
Mg4 0.381 0.074 0.145
Mg5 0.446 0.795 0.529
Mg6 0.471 0.554 0.205
Mg7 0.529 0.446 0.795
Mg8 0.554 0.205 0.471
Mg9 0.619 0.926 0.855
Mg10 0.795 0.529 0.446
Mg11 0.855 0.619 0.926
Mg12 0.926 0.855 0.619
Pb1 0.123 0.746 0.298
Pb2 0.254 0.702 0.877
Pb3 0.298 0.123 0.746
Pb4 0.702 0.877 0.254
Pb5 0.746 0.298 0.123
Pb6 0.877 0.254 0.702

---

2.
The following is a PBE calculation of crystalline TmMgPb2 at its relaxed geometry, from the Alexandria database.

Values from the calculation:
**Crystal system**: tetragonal
**DFT formation energy**: -26.3 kJ/mol of atoms
**ρ**: 9.56 g/cm3
**Magnetic moment**: 0.00 μB per atom

Unit cell a=4.928 b=4.928 c=4.345 alpha=90.00 beta=90.00 gamma=90.00
Fractional positions:
Tm1 0.000 0.000 0.000
Mg1 0.500 0.500 0.000
Pb1 0.000 0.500 0.500
Pb2 0.500 0.000 0.500

---

3.
The following is a PBE calculation of crystalline Tm4Mg4Pb7 at its relaxed geometry, from the Alexandria database.

Values from the calculation:
**Crystal system**: tetragonal
**DFT formation energy**: -24.2 kJ/mol of atoms
**ρ**: 9.26 g/cm3
**Magnetic moment**: 0.00 μB per atom

Unit cell a=11.700 b=11.700 c=11.700 alpha=94.13 beta=94.13 gamma=148.87
Fractional positions:
Tm1 0.000 0.187 0.187
Tm2 0.000 0.813 0.813
Tm3 0.187 0.000 0.187
Tm4 0.368 0.368 0.736
Tm5 0.368 0.632 0.000
Tm6 0.632 0.368 0.000
Tm7 0.632 0.632 0.264
Tm8 0.813 0.000 0.813
Mg1 0.094 0.594 0.189
Mg2 0.094 0.906 0.500
Mg3 0.406 0.594 0.500
Mg4 0.406 0.906 0.811
Mg5 0.594 0.094 0.189
Mg6 0.594 0.406 0.500
Mg7 0.906 0.094 0.500
Mg8 0.906 0.406 0.811
Pb1 0.000 0.405 0.405
Pb2 0.000 0.595 0.595
Pb3 0.193 0.193 0.385
Pb4 0.193 0.807 0.000
Pb5 0.228 0.500 0.728
Pb6 0.249 0.249 0.000
Pb7 0.405 0.000 0.405
Pb8 0.500 0.228 0.728
Pb9 0.500 0.772 0.272
Pb10 0.595 0.000 0.595
Pb11 0.751 0.751 0.000
Pb12 0.772 0.500 0.272
Pb13 0.807 0.193 0.000
Pb14 0.807 0.807 0.615